(1)
Material: Ba2PbW
Method: DFT, PBE
State: optimized geometry

Calculated total energy: -17.608 eV per formula unit

Lattice parameters (Å, degrees): 6.772 6.772 6.198 107.05 107.05 28.89
Atoms (fractional coordinates):
Ba 0.000 0.000 0.000
Ba 0.187 0.187 0.631
Pb 0.421 0.421 0.452
W 0.754 0.754 0.171

=====

(2)
Material: BaPb3W
Method: DFT, PBE
State: optimized geometry

Polymorph energy (0 for the lowest one): 10.536 eV/f.u.
Calculated total energy: -14.163 eV per formula unit

Lattice parameters (Å, degrees): 6.120 6.120 6.120 90.00 90.00 90.00
Atoms (fractional coordinates):
Ba 0.000 0.000 0.000
Pb 0.000 0.000 0.500
Pb 0.000 0.500 0.000
Pb 0.500 0.000 0.000
W 0.500 0.500 0.500

=====

(3)
Material: BaY2Pb
Method: DFT, PBE
State: optimized geometry

Calculated total energy: -19.220 eV per formula unit

Lattice parameters (Å, degrees): 3.830 4.494 8.480 90.00 90.00 90.00
Atoms (fractional coordinates):
Ba 0.000 0.000 0.000
Y 0.000 0.000 0.554
Y 0.500 0.500 0.330
Pb 0.500 0.500 0.724

=====

(4)
Material: Ba2YPb
Method: DFT, PBE
State: optimized geometry

Calculated total energy: -14.652 eV per formula unit

Lattice parameters (Å, degrees): 4.182 5.510 7.693 90.00 105.77 90.00
Atoms (fractional coordinates):
Ba 0.000 0.000 0.000
Ba 0.318 0.500 0.638
Y 0.711 0.000 0.425
Pb 0.601 0.500 0.201

=====

(5)
Material: BaYPb
Method: DFT, PBE
State: optimized geometry

Polymorph energy (0 for the lowest one): 0.665 eV/f.u.
Calculated total energy: -12.308 eV per formula unit

Lattice parameters (Å, degrees): 3.930 3.930 8.624 90.00 90.00 120.00
Atoms (fractional coordinates):
Ba 0.000 0.000 0.000
Y 0.333 0.667 0.599
Pb 0.667 0.333 0.324

=====

(6)
Material: Ba2YPb
Method: DFT, PBE
State: optimized geometry

Calculated total energy: -14.281 eV per formula unit

Lattice parameters (Å, degrees): 6.616 6.616 6.616 132.33 132.33 69.70
Atoms (fractional coordinates):
Ba 0.000 0.000 0.000
Ba 0.750 0.250 0.500
Y 0.500 0.500 0.000
Pb 0.250 0.750 0.500

=====

(7)
Material: Ba2YPb
Method: DFT, PBE
State: optimized geometry

Calculated total energy: -14.273 eV per formula unit

Lattice parameters (Å, degrees): 4.002 4.002 10.678 90.00 90.00 90.00
Atoms (fractional coordinates):
Ba 0.000 0.000 0.221
Ba 0.000 0.000 0.779
Y 0.500 0.500 0.500
Pb 0.500 0.500 0.000

=====

(8)
Material: BaYPb3
Method: DFT, PBE
State: optimized geometry

Polymorph energy (0 for the lowest one): 0.000 eV/f.u.
Calculated total energy: -20.304 eV per formula unit

Lattice parameters (Å, degrees): 5.884 5.884 5.884 90.00 90.00 90.00
Atoms (fractional coordinates):
Ba 0.000 0.000 0.000
Y 0.500 0.500 0.500
Pb 0.000 0.500 0.500
Pb 0.500 0.000 0.500
Pb 0.500 0.500 0.000

=====

(9)
Material: BaYPb6
Method: DFT, PBE
State: optimized geometry

Calculated total energy: -33.309 eV per formula unit

Lattice parameters (Å, degrees): 5.082 5.082 9.749 90.00 90.00 90.00
Atoms (fractional coordinates):
Ba 0.000 0.000 0.000
Y 0.000 0.000 0.500
Pb 0.000 0.500 0.264
Pb 0.000 0.500 0.736
Pb 0.500 0.000 0.264
Pb 0.500 0.000 0.736
Pb 0.500 0.500 0.000
Pb 0.500 0.500 0.500

=====

(10)
Material: BaYPb4
Method: DFT, PBE
State: optimized geometry

Calculated total energy: -24.525 eV per formula unit

Lattice parameters (Å, degrees): 6.595 6.595 6.595 60.00 60.00 60.00
Atoms (fractional coordinates):
Ba 0.000 0.000 0.000
Y 0.250 0.250 0.250
Pb 0.128 0.624 0.624
Pb 0.624 0.128 0.624
Pb 0.624 0.624 0.128
Pb 0.624 0.624 0.624

=====

(11)
Material: BaY2Pb
Method: DFT, PBE
State: optimized geometry

Calculated total energy: -18.762 eV per formula unit

Lattice parameters (Å, degrees): 6.003 6.003 6.935 97.69 97.69 35.57
Atoms (fractional coordinates):
Ba 0.000 0.000 0.000
Y 0.227 0.227 0.675
Y 0.481 0.481 0.484
Pb 0.744 0.744 0.277

=====

(12)
Material: Ba2YPb
Method: DFT, PBE
State: optimized geometry

Calculated total energy: -14.065 eV per formula unit

Lattice parameters (Å, degrees): 6.000 6.000 6.000 60.00 60.00 60.00
Atoms (fractional coordinates):
Ba 0.000 0.000 0.000
Ba 0.250 0.250 0.250
Y 0.500 0.500 0.500
Pb 0.750 0.750 0.750

=====

(13)
Material: Ba2YPb
Method: DFT, PBE
State: optimized geometry

Calculated total energy: -14.267 eV per formula unit

Lattice parameters (Å, degrees): 6.666 6.666 3.916 90.06 90.06 115.32
Atoms (fractional coordinates):
Ba 0.000 0.500 0.000
Ba 0.500 0.000 0.000
Y 0.000 0.000 0.500
Pb 0.500 0.500 0.500

=====

(14)
Material: Ba2YPb
Method: DFT, PBE
State: optimized geometry

Calculated total energy: -14.750 eV per formula unit

Lattice parameters (Å, degrees): 4.015 4.446 9.879 90.00 90.00 90.00
Atoms (fractional coordinates):
Ba 0.000 0.000 0.000
Ba 0.500 0.500 0.368
Y 0.500 0.500 0.730
Pb 0.000 0.000 0.604

=====

(15)
Material: Ba2YPb
Method: DFT, PBE
State: optimized geometry

Calculated total energy: -13.819 eV per formula unit

Lattice parameters (Å, degrees): 12.499 12.499 12.499 18.56 18.56 18.56
Atoms (fractional coordinates):
Ba 0.244 0.244 0.244
Ba 0.756 0.756 0.756
Y 0.000 0.000 0.000
Pb 0.500 0.500 0.500

=====

| no. | calculated formation energy (kcal/mol of atoms) |
| --- | --- |
| 1 | 16.71 |
| 2 | 54.60 |
| 3 | -3.81 |
| 4 | -3.65 |
| 5 | -1.63 |
| 6 | -1.52 |
| 7 | -1.47 |
| 8 | -3.65 |
| 9 | -7.70 |
| 10 | -5.01 |
| 11 | -1.17 |
| 12 | -0.27 |
| 13 | -1.44 |
| 14 | -4.22 |
| 15 | 1.14 |